The following is a DFT calculation (PBE) of a geometry-optimized LaDyHo2Se4 structure.

Cell and atoms, written as POSCAR:
```
LaDyHo2Se4
1.0
4.065 0.000 0.000
0.000 7.217 -0.202
0.000 2.482 6.705
Se Ho La Dy
4 2 1 1
Direct
0.500 0.242 0.745
0.000 0.235 0.263
0.500 0.758 0.255
0.000 0.765 0.737
0.000 0.000 0.000
0.500 0.000 0.500
0.500 0.500 0.000
0.000 0.500 0.500
```

Summary:
**D(E_F)**: 4.983 states/eV/cell
**ΔE_f (raw)**: -1.79 eV/atom
**Symmetry**: P2/m (10)
**ρ**: 7912 kg/m³

---

The following is a DFT calculation (PBE) of a geometry-optimized La2DyHoSe5 structure.

Cell and atoms, written as POSCAR:
```
La2DyHoSe5
1.0
-3.592 3.197 1.764
0.846 -1.678 4.765
7.450 7.620 1.360
Se La Dy Ho
5 2 1 1
Direct
0.500 0.500 0.000
0.000 0.000 0.755
0.500 0.000 0.500
0.000 0.500 0.500
0.000 0.000 0.245
0.500 0.500 0.303
0.500 0.500 0.697
0.000 0.000 0.000
0.000 0.000 0.500
```

Summary:
**D(E_F)**: 7.256 states/eV/cell
**ΔE_f (raw)**: -1.42 eV/atom
**Symmetry**: P4/mmm (123)
**ρ**: 5891 kg/m³

---

The following is a DFT calculation (PBE) of a geometry-optimized La3DyHo3Se8 structure.

Cell and atoms, written as POSCAR:
```
La3DyHo3Se8
1.0
-0.886 -8.086 -1.420
7.455 3.091 1.756
-5.825 -0.424 6.051
Se Ho La Dy
8 3 3 1
Direct
0.752 0.013 0.266
0.739 0.987 0.734
0.248 0.987 0.734
0.257 0.513 0.270
0.248 0.496 0.735
0.743 0.487 0.730
0.261 0.013 0.266
0.752 0.504 0.265
0.500 0.000 0.500
0.000 0.500 0.500
0.500 0.500 0.500
0.500 0.500 0.000
0.000 0.500 0.000
0.000 0.000 0.000
0.000 0.000 0.500
```

Summary:
**D(E_F)**: 7.732 states/eV/cell
**ΔE_f (raw)**: -1.91 eV/atom
**Symmetry**: R-3m (166)
**ρ**: 6922 kg/m³

---

The following is a DFT calculation (PBE) of a geometry-optimized La2DyHoSe6 structure.

Cell and atoms, written as POSCAR:
```
La2DyHoSe6
1.0
7.432 0.000 0.000
3.716 6.437 0.000
3.715 2.145 6.482
Se Ho La Dy
6 1 2 1
Direct
0.442 0.696 0.760
0.944 0.601 0.259
0.196 0.943 0.259
0.601 0.196 0.259
0.696 0.102 0.760
0.102 0.442 0.760
0.318 0.318 0.046
0.022 0.022 0.933
0.523 0.523 0.432
0.818 0.818 0.547
```

Summary:
**D(E_F)**: 0.000 states/eV/cell
**ΔE_f (raw)**: -1.92 eV/atom
**Symmetry**: R3 (146)
**ρ**: 5778 kg/m³